The following is a DFT calculation (GGA+U) of a geometry-optimized RbMn2ZnF8 structure.

```
RbMn2ZnF8
1.0
4.928 0.177 -0.060
0.236 4.936 -0.117
-0.055 -0.116 7.968
Rb Mn Zn F
1 2 1 8
direct
0.000 0.000 0.500 Rb
0.490 0.485 0.804 Mn
0.510 0.515 0.196 Mn
0.000 0.000 0.000 Zn
0.196 0.790 0.185 F
0.689 0.700 0.986 F
0.799 0.214 0.188 F
0.804 0.210 0.815 F
0.311 0.300 0.014 F
0.201 0.786 0.812 F
0.632 0.665 0.402 F
0.368 0.335 0.598 F
```

Output
calculated volume = 193.4 Å³ per cell
Fermi-level density of states = 4.11 states/eV per cell
DFT total energy = -61.791 eV/cell
symmetry = P-1 (2)